(1)
Crystalline CaHfMg6 at its relaxed geometry. Source: Alexandria via LeMat-Bulk, functional PBEsol.

Computed properties:
Fermi-level density of states in states/eV/cell: 6.7
Calculated total energy in eV per atom: -2.797
Space group: No. 123
Size of the total moment in μB per cell: 0.00

a b c (Å): 4.6156 6.3858 6.3858
angles (deg): 90.00 90.00 90.00
Sites, in units of the cell vectors:
Ca 0.5000 0.5000 0.5000
Hf 0.5000 0.0000 0.0000
Mg 0.5000 0.5000 0.0000
Mg 0.5000 0.0000 0.5000
Mg 0.0000 0.2358 0.7642
Mg 0.0000 0.7642 0.2358
Mg 0.0000 0.2358 0.2358
Mg 0.0000 0.7642 0.7642

(2)
Crystalline ScAl3Pt at its relaxed geometry. Source: Alexandria via LeMat-Bulk, functional PBEsol.

Computed properties:
Fermi-level density of states in states/eV/cell: 3.6
Calculated total energy in eV per atom: -5.321
Space group: No. 221
Size of the total moment in μB per cell: 0.00

a b c (Å): 4.7025 4.7025 4.7025
angles (deg): 90.00 90.00 90.00
Sites, in units of the cell vectors:
Sc 0.5000 0.5000 0.5000
Al 0.0000 0.5000 0.0000
Al 0.0000 0.0000 0.5000
Al 0.5000 0.0000 0.0000
Pt 0.0000 0.0000 0.0000

(3)
Crystalline YCd at its relaxed geometry. Source: Alexandria via LeMat-Bulk, functional PBEsol.

Computed properties:
Fermi-level density of states in states/eV/cell: 4.0
Calculated total energy in eV per atom: -4.329
Space group: No. 63
Size of the total moment in μB per cell: 0.00

a b c (Å): 3.5903 4.8118 6.1624
angles (deg): 90.00 106.94 90.00
Sites, in units of the cell vectors:
Y 0.8421 0.7500 0.6842
Y 0.1579 0.2500 0.3158
Cd 0.5730 0.7500 0.1460
Cd 0.4270 0.2500 0.8540

(4)
Crystalline BaSrTe4 at its relaxed geometry. Source: Alexandria via LeMat-Bulk, functional PBEsol.

Computed properties:
Fermi-level density of states in states/eV/cell: 3.9
ΔE_f (raw) in eV/atom: -0.56
Calculated total energy in eV per atom: -3.573
Space group: No. 216
Size of the total moment in μB per cell: 0.00

a b c (Å): 6.5814 6.5814 6.5814
angles (deg): 60.00 60.00 60.00
Sites, in units of the cell vectors:
Ba 0.7500 0.7500 0.7500
Sr 0.0000 0.0000 0.0000
Te 0.3746 0.3746 0.3746
Te 0.3746 0.3746 0.8761
Te 0.8761 0.3746 0.3746
Te 0.3746 0.8761 0.3746

(5)
Crystalline Ca6Si3H2O13 at its relaxed geometry. Source: Alexandria via LeMat-Bulk, functional PBEsol.

Computed properties:
Fermi-level density of states in states/eV/cell: 0.0
Calculated total energy in eV per atom: -7.217
Space group: No. 2
Size of the total moment in μB per cell: 0.00

a b c (Å): 6.8080 6.9011 12.8281
angles (deg): 91.13 97.51 98.22
Sites, in units of the cell vectors:
Ca 0.0766 0.1960 0.1013
Ca 0.9234 0.8040 0.8987
Ca 0.1898 0.2017 0.4853
Ca 0.8102 0.7983 0.5147
Ca 0.8904 0.4789 0.2899
Ca 0.1096 0.5211 0.7101
Ca 0.5697 0.0351 0.3249
Ca 0.4303 0.9649 0.6751
Ca 0.3187 0.1863 0.8754
Ca 0.6813 0.8137 0.1246
Ca 0.5967 0.4791 0.7048
Ca 0.4033 0.5209 0.2952
H 0.2155 0.0256 0.2665
H 0.7845 0.9744 0.7335
H 0.0609 0.1070 0.6787
H 0.9391 0.8930 0.3213
O 0.6140 0.4940 0.1646
O 0.3860 0.5060 0.8354
O 0.3873 0.1883 0.0528
O 0.6127 0.8117 0.9472
O 0.6187 0.1792 0.8019
O 0.3813 0.8208 0.1981
O 0.7439 0.1553 0.1788
O 0.2561 0.8447 0.8212
O 0.9895 0.1465 0.9096
O 0.0105 0.8535 0.0904
O 0.2374 0.1589 0.2989
O 0.7626 0.8411 0.7011
O 0.8459 0.1289 0.4869
O 0.1541 0.8711 0.5131
O 0.1861 0.1990 0.6844
O 0.8139 0.8010 0.3156
O 0.5193 0.2194 0.5661
O 0.4807 0.7806 0.4339
O 0.7471 0.3333 0.0000
O 0.2529 0.6667 0.0000
O 0.6427 0.3733 0.3904
O 0.3573 0.6267 0.6096
O 0.8364 0.4897 0.5841
O 0.1636 0.5103 0.4159
O 0.1126 0.5110 0.1693
O 0.8874 0.4890 0.8307
Si 0.6117 0.2892 0.0985
Si 0.3883 0.7108 0.9015
Si 0.8119 0.2818 0.8835
Si 0.1881 0.7182 0.1165
Si 0.7154 0.3033 0.5095
Si 0.2846 0.6967 0.4905

(6)
Crystalline OsSN3 at its relaxed geometry. Source: Alexandria via LeMat-Bulk, functional PBEsol.

Computed properties:
Fermi-level density of states in states/eV/cell: 4.5
ΔE_f (raw) in eV/atom: 1.39
Calculated total energy in eV per atom: -7.049
Space group: No. 221
Size of the total moment in μB per cell: 0.00

a b c (Å): 3.8526 3.8526 3.8526
angles (deg): 90.00 90.00 90.00
Sites, in units of the cell vectors:
S 0.5000 0.5000 0.5000
Os 0.0000 0.0000 0.0000
N 0.0000 0.5000 0.0000
N 0.0000 0.0000 0.5000
N 0.5000 0.0000 0.0000

(7)
Crystalline BiWN2F at its relaxed geometry. Source: Alexandria via LeMat-Bulk, functional PBEsol.

Computed properties:
Fermi-level density of states in states/eV/cell: 4.1
ΔE_f (raw) in eV/atom: 1.71
Calculated total energy in eV per atom: -5.703
Space group: No. 123
Size of the total moment in μB per cell: 1.23

a b c (Å): 3.6737 4.4129 4.4129
angles (deg): 90.00 90.00 90.00
Each line ends with the local moment (μB).
Sites, in units of the cell vectors:
N 0.0000 0.0000 0.5000  0.56
N 0.0000 0.5000 0.0000  0.56
Bi 0.5000 0.5000 0.5000  -0.08
W 0.5000 0.0000 0.0000  -0.27
F 0.0000 0.0000 0.0000  0.12

(8)
Crystalline MgRe at its relaxed geometry. Source: Alexandria via LeMat-Bulk, functional PBEsol.

Computed properties:
Fermi-level density of states in states/eV/cell: 1.4
Calculated total energy in eV per atom: -7.119
Space group: No. 166
E above lowest polymorph in meV per atom: 304
Size of the total moment in μB per cell: 0.00

a b c (Å): 2.7764 2.7764 4.9657
angles (deg): 73.77 73.77 60.00
Sites, in units of the cell vectors:
Re 0.0000 0.0000 0.0000
Mg 0.5000 0.5000 0.5000

(9)
Crystalline AsPbSe2 at its relaxed geometry. Source: Alexandria via LeMat-Bulk, functional PBEsol.

Computed properties:
Fermi-level density of states in states/eV/cell: 1.3
ΔE_f (raw) in eV/atom: -0.01
Calculated total energy in eV per atom: -4.211
Space group: No. 99
E above lowest polymorph in meV per atom: 0
Size of the total moment in μB per cell: 0.00

a b c (Å): 3.5316 3.5316 8.1020
angles (deg): 90.00 90.00 90.00
Sites, in units of the cell vectors:
Pb 0.5000 0.5000 0.7814
As 0.0000 0.0000 0.4355
Se 0.0000 0.0000 0.9628
Se 0.5000 0.5000 0.3203

(10)
Crystalline Y4RePb at its relaxed geometry. Source: Alexandria via LeMat-Bulk, functional PBEsol.

Computed properties:
Fermi-level density of states in states/eV/cell: 8.3
Calculated total energy in eV per atom: -6.680
Space group: No. 216
Size of the total moment in μB per cell: 0.00

a b c (Å): 5.9256 5.9256 5.9256
angles (deg): 60.00 60.00 60.00
Sites, in units of the cell vectors:
Pb 0.7500 0.7500 0.7500
Re 0.0000 0.0000 0.0000
Y 0.3729 0.3729 0.3729
Y 0.3729 0.3729 0.8812
Y 0.8812 0.3729 0.3729
Y 0.3729 0.8812 0.3729

(11)
Crystalline BeCo2AsPd at its relaxed geometry. Source: Alexandria via LeMat-Bulk, functional PBEsol.

Computed properties:
Fermi-level density of states in states/eV/cell: 8.1
Calculated total energy in eV per atom: -4.633
Space group: No. 123
Size of the total moment in μB per cell: 3.99

a b c (Å): 4.4839 4.5518 4.5518
angles (deg): 90.00 90.00 90.00
Each line ends with the local moment (μB).
Sites, in units of the cell vectors:
Be 0.5000 0.5000 0.5000  -0.05
As 0.5000 0.0000 0.0000  0.04
Co 0.0000 0.0000 0.5000  1.91
Co 0.0000 0.5000 0.0000  1.91
Pd 0.0000 0.0000 0.0000  0.24

(12)
Crystalline Sr2P7Br at its relaxed geometry. Source: Alexandria via LeMat-Bulk, functional PBEsol.

Computed properties:
Fermi-level density of states in states/eV/cell: 0.0
ΔE_f (raw) in eV/atom: -0.73
Calculated total energy in eV per atom: -5.335
Space group: No. 198
Size of the total moment in μB per cell: 0.00

a b c (Å): 9.7042 9.7042 9.7042
angles (deg): 90.00 90.00 90.00
Sites, in units of the cell vectors:
Sr 0.6472 0.1472 0.3528
Sr 0.1472 0.3528 0.6472
Sr 0.3528 0.6472 0.1472
Sr 0.8528 0.8528 0.8528
Sr 0.9140 0.4140 0.0860
Sr 0.4140 0.0860 0.9140
Sr 0.0860 0.9140 0.4140
Sr 0.5860 0.5860 0.5860
P 0.4645 0.9645 0.5355
P 0.9645 0.5355 0.4645
P 0.5355 0.4645 0.9645
P 0.0355 0.0355 0.0355
P 0.2196 0.9403 0.1203
P 0.8797 0.7196 0.5597
P 0.4403 0.3797 0.7804
P 0.7196 0.5597 0.8797
P 0.3797 0.7804 0.4403
P 0.9403 0.1203 0.2196
P 0.7804 0.4403 0.3797
P 0.1203 0.2196 0.9403
P 0.5597 0.8797 0.7196
P 0.2804 0.0597 0.6203
P 0.6203 0.2804 0.0597
P 0.0597 0.6203 0.2804
P 0.1974 0.8874 0.7344
P 0.2656 0.6974 0.6126
P 0.3874 0.7656 0.8026
P 0.6974 0.6126 0.2656
P 0.7656 0.8026 0.3874
P 0.8874 0.7344 0.1974
P 0.8026 0.3874 0.7656
P 0.7344 0.1974 0.8874
P 0.6126 0.2656 0.6974
P 0.3026 0.1126 0.2344
P 0.2344 0.3026 0.1126
P 0.1126 0.2344 0.3026
Br 0.0977 0.5977 0.9023
Br 0.5977 0.9023 0.0977
Br 0.9023 0.0977 0.5977
Br 0.4023 0.4023 0.4023

(13)
Crystalline TlMo4As at its relaxed geometry. Source: Alexandria via LeMat-Bulk, functional PBEsol.

Computed properties:
Fermi-level density of states in states/eV/cell: 6.1
Calculated total energy in eV per atom: -8.508
Space group: No. 216
Size of the total moment in μB per cell: 0.00

a b c (Å): 5.2757 5.2757 5.2757
angles (deg): 60.00 60.00 60.00
Sites, in units of the cell vectors:
As 0.0000 0.0000 0.0000
Mo 0.3754 0.3754 0.3754
Mo 0.3754 0.3754 0.8736
Mo 0.8736 0.3754 0.3754
Mo 0.3754 0.8736 0.3754
Tl 0.7500 0.7500 0.7500

(14)
Crystalline HgPtAu2 at its relaxed geometry. Source: Alexandria via LeMat-Bulk, functional PBEsol.

Computed properties:
Fermi-level density of states in states/eV/cell: 1.0
Calculated total energy in eV per atom: -3.827
Space group: No. 119
Size of the total moment in μB per cell: 0.00

a b c (Å): 4.1108 4.1108 4.9816
angles (deg): 114.37 114.37 90.00
Sites, in units of the cell vectors:
Au 0.5000 0.5000 0.0000
Au 0.7500 0.2500 0.5000
Hg 0.0000 0.0000 0.0000
Pt 0.2500 0.7500 0.5000

(15)
Crystalline HgAuOF2 at its relaxed geometry. Source: Alexandria via LeMat-Bulk, functional PBEsol.

Computed properties:
Fermi-level density of states in states/eV/cell: 3.0
ΔE_f (raw) in eV/atom: -0.35
Calculated total energy in eV per atom: -3.071
Space group: No. 123
Size of the total moment in μB per cell: 0.00

a b c (Å): 4.0695 4.2859 4.2859
angles (deg): 90.00 90.00 90.00
Sites, in units of the cell vectors:
Au 0.0000 0.0000 0.0000
Hg 0.5000 0.5000 0.5000
O 0.5000 0.0000 0.0000
F 0.0000 0.0000 0.5000
F 0.0000 0.5000 0.0000

(16)
Crystalline LiAl2Ni at its relaxed geometry. Source: Alexandria via LeMat-Bulk, functional PBEsol.

Computed properties:
Fermi-level density of states in states/eV/cell: 1.1
Calculated total energy in eV per atom: -4.551
Space group: No. 225
Size of the total moment in μB per cell: 0.00

a b c (Å): 4.1221 4.1221 4.1221
angles (deg): 60.00 60.00 60.00
Sites, in units of the cell vectors:
Ni 0.0000 0.0000 0.0000
Al 0.7500 0.7500 0.7500
Al 0.2500 0.2500 0.2500
Li 0.5000 0.5000 0.5000

(17)
Crystalline K2AgHg2 at its relaxed geometry. Source: Alexandria via LeMat-Bulk, functional PBEsol.

Computed properties:
Fermi-level density of states in states/eV/cell: 3.6
Calculated total energy in eV per atom: -1.439
Space group: No. 127
Size of the total moment in μB per cell: 0.00

a b c (Å): 5.3623 7.4676 7.4676
angles (deg): 90.00 90.00 90.00
Sites, in units of the cell vectors:
K 0.5000 0.1759 0.6759
K 0.5000 0.6759 0.8241
K 0.5000 0.8241 0.3241
K 0.5000 0.3241 0.1759
Hg 0.0000 0.3601 0.8601
Hg 0.0000 0.8601 0.6399
Hg 0.0000 0.6399 0.1399
Hg 0.0000 0.1399 0.3601
Ag 0.0000 0.0000 0.0000
Ag 0.0000 0.5000 0.5000

(18)
Crystalline Fe5Co at its relaxed geometry. Source: Alexandria via LeMat-Bulk, functional PBEsol.

Computed properties:
Fermi-level density of states in states/eV/cell: 5.2
Calculated total energy in eV per atom: -8.735
Space group: No. 2
Size of the total moment in μB per cell: 13.44

a b c (Å): 2.4197 4.6293 6.0875
angles (deg): 78.03 82.41 79.94
Each line ends with the local moment (μB).
Sites, in units of the cell vectors:
Co 0.0000 0.0000 0.0000  1.75
Fe 0.8346 0.8327 0.6671  2.34
Fe 0.6684 0.6667 0.3323  2.35
Fe 0.5000 0.5000 0.0000  2.41
Fe 0.3316 0.3333 0.6677  2.35
Fe 0.1654 0.1673 0.3329  2.34

(19)
Crystalline YHgIr2 at its relaxed geometry. Source: Alexandria via LeMat-Bulk, functional PBEsol.

Computed properties:
Fermi-level density of states in states/eV/cell: 3.5
Calculated total energy in eV per atom: -7.064
Space group: No. 123
Size of the total moment in μB per cell: 0.00

a b c (Å): 3.9206 4.2142 4.2142
angles (deg): 90.00 90.00 90.00
Sites, in units of the cell vectors:
Hg 0.5000 0.0000 0.0000
Ir 0.0000 0.0000 0.5000
Ir 0.0000 0.5000 0.0000
Y 0.5000 0.5000 0.5000

(20)
Crystalline ZrTi2AlTe at its relaxed geometry. Source: Alexandria via LeMat-Bulk, functional PBEsol.

Computed properties:
Fermi-level density of states in states/eV/cell: 4.7
ΔE_f (raw) in eV/atom: 0.92
Calculated total energy in eV per atom: -5.750
Space group: No. 123
Size of the total moment in μB per cell: 0.00

a b c (Å): 4.7641 4.7641 5.1763
angles (deg): 90.00 90.00 90.00
Sites, in units of the cell vectors:
Te 0.5000 0.5000 0.5000
Al 0.0000 0.0000 0.5000
Zr 0.0000 0.0000 0.0000
Ti 0.0000 0.5000 0.0000
Ti 0.5000 0.0000 0.0000

(21)
Crystalline BaY2As at its relaxed geometry. Source: Alexandria via LeMat-Bulk, functional PBEsol.

Computed properties:
Fermi-level density of states in states/eV/cell: 4.2
Calculated total energy in eV per atom: -5.709
Space group: No. 65
Size of the total moment in μB per cell: 0.00

a b c (Å): 3.6383 3.6383 9.5144
angles (deg): 90.00 90.00 97.03
Sites, in units of the cell vectors:
Y 0.0000 0.0000 0.3304
Y 0.0000 0.0000 0.6696
As 0.5000 0.5000 0.5000
Ba 0.5000 0.5000 0.0000

(22)
Crystalline Os3RuN at its relaxed geometry. Source: Alexandria via LeMat-Bulk, functional PBEsol.

Computed properties:
Fermi-level density of states in states/eV/cell: 9.4
ΔE_f (raw) in eV/atom: 3.70
Calculated total energy in eV per atom: -7.372
Space group: No. 221
E above lowest polymorph in meV per atom: 3060
Size of the total moment in μB per cell: 4.22

a b c (Å): 4.6042 4.6042 4.6042
angles (deg): 90.00 90.00 90.00
Each line ends with the local moment (μB).
Sites, in units of the cell vectors:
Ru 0.0000 0.0000 0.0000  -0.03
Os 0.0000 0.5000 0.0000  0.75
Os 0.0000 0.0000 0.5000  0.75
Os 0.5000 0.0000 0.0000  0.75
N 0.5000 0.5000 0.5000  1.33

(23)
Crystalline Co4Ir at its relaxed geometry. Source: Alexandria via LeMat-Bulk, functional PBEsol.

Computed properties:
Fermi-level density of states in states/eV/cell: 8.6
Calculated total energy in eV per atom: -8.108
Space group: No. 87
Size of the total moment in μB per cell: 5.07

a b c (Å): 3.5238 4.3278 4.3278
angles (deg): 80.46 65.98 65.98
Each line ends with the local moment (μB).
Sites, in units of the cell vectors:
Ir 0.0000 0.0000 0.0000  0.17
Co 0.4008 0.4035 0.7949  1.23
Co 0.5992 0.5965 0.2051  1.23
Co 0.8043 0.7949 0.5965  1.23
Co 0.1957 0.2051 0.4035  1.23

(24)
Crystalline CoRh2 at its relaxed geometry. Source: Alexandria via LeMat-Bulk, functional PBEsol.

Computed properties:
Fermi-level density of states in states/eV/cell: 8.9
Calculated total energy in eV per atom: -7.936
Space group: No. 11
Size of the total moment in μB per cell: 4.04

a b c (Å): 2.6287 4.5041 6.3692
angles (deg): 90.39 90.00 90.00
Each line ends with the local moment (μB).
Sites, in units of the cell vectors:
Co 0.2500 0.4206 0.3431  1.66
Co 0.7500 0.5794 0.6569  1.66
Rh 0.2500 0.7452 0.9943  0.14
Rh 0.7500 0.9120 0.3357  0.25
Rh 0.2500 0.0880 0.6643  0.25
Rh 0.7500 0.2547 0.0057  0.14